Compound: Ac4SiHgI2
Source: the Alexandria database
Functional: PBE
Structure: optimized geometry

## Properties
The total energy is -31.561 eV for the cell shown.

```
data_Ac4SiHgI2
_chemical_formula_sum 'Ac4 Si1 Hg1 I2'
_cell_length_a 8.3114
_cell_length_b 4.6167
_cell_length_c 8.3604
_cell_angle_alpha 90.00
_cell_angle_beta 108.10
_cell_angle_gamma 90.00
_symmetry_space_group_name_H-M 'P 1 2/m 1'
_symmetry_Int_Tables_number 10
_symmetry_space_group_name_Hall '-P 2y'
loop_
_atom_site_label
_atom_site_type_symbol
_atom_site_fract_x
_atom_site_fract_y
_atom_site_fract_z
_atom_site_occupancy
Ac1 Ac 0.2250 0.0000 0.2077 1
Ac2 Ac 0.2542 0.5000 0.7872 1
Si1 Si 0.0000 0.5000 0.0000 1
Hg1 Hg 0.5000 0.0000 0.0000 1
I1 I 0.0000 0.0000 0.5000 1
I2 I 0.5000 0.5000 0.5000 1
```

Compound: PmDy
Source: the Alexandria database
Functional: PBE
Structure: optimized geometry

## Properties
Its polymorph energy (0 for the lowest one) is 5 meV/atom. The value obtained for the formation energy is 0.03 eV/atom.

```
data_PmDy
_chemical_formula_sum 'Pm2 Dy2'
_cell_length_a 3.6499
_cell_length_b 5.7737
_cell_length_c 6.3167
_cell_angle_alpha 90.00
_cell_angle_beta 90.00
_cell_angle_gamma 90.00
_symmetry_space_group_name_H-M 'P m m n'
_symmetry_Int_Tables_number 59
loop_
_symmetry_equiv_pos_as_xyz
'x,y,z'
'-x,-y,-z'
'-x+1/2,-y+1/2,z'
'x+1/2,y+1/2,-z'
'x+1/2,-y,-z'
'-x+1/2,y,z'
'-x,y+1/2,-z'
'x,-y+1/2,z'
loop_
_atom_site_label
_atom_site_type_symbol
_atom_site_fract_x
_atom_site_fract_y
_atom_site_fract_z
_atom_site_occupancy
Pm1 Pm 0.2500 0.2500 0.0819 1
Dy1 Dy 0.2500 0.7500 0.4170 1
```

Compound: Sc4Al2CdCu
Source: the Alexandria database
Functional: PBE
Structure: optimized geometry

## Properties
The value obtained for the formation energy is -0.35 eV/atom.

```
data_Sc4Al2CdCu
_chemical_formula_sum 'Sc12 Al6 Cd3 Cu3'
_cell_length_a 4.8209
_cell_length_b 4.8209
_cell_length_c 23.5922
_cell_angle_alpha 90.00
_cell_angle_beta 90.00
_cell_angle_gamma 120.00
_symmetry_space_group_name_H-M 'R -3 m'
_symmetry_Int_Tables_number 166
_symmetry_space_group_name_Hall '-R 3 2"'
loop_
_atom_site_label
_atom_site_type_symbol
_atom_site_fract_x
_atom_site_fract_y
_atom_site_fract_z
_atom_site_occupancy
Sc1 Sc 0.0000 0.0000 0.1193 1
Sc2 Sc 0.0000 0.0000 0.3704 1
Al1 Al 0.0000 0.0000 0.2478 1
Cd1 Cd 0.0000 0.0000 0.5000 1
Cu1 Cu 0.0000 0.0000 0.0000 1
```

Compound: MgSi2Pt
Source: the Alexandria database
Functional: PBE
Structure: optimized geometry

## Properties
The total energy is -39.247 eV for the cell shown.

```
data_MgSi2Pt
_chemical_formula_sum 'Mg2 Si4 Pt2'
_cell_length_a 7.7465
_cell_length_b 3.6677
_cell_length_c 4.9842
_cell_angle_alpha 90.00
_cell_angle_beta 101.37
_cell_angle_gamma 90.00
_symmetry_space_group_name_H-M 'C 1 2/m 1'
_symmetry_Int_Tables_number 12
_symmetry_space_group_name_Hall '-C 2y'
loop_
_atom_site_label
_atom_site_type_symbol
_atom_site_fract_x
_atom_site_fract_y
_atom_site_fract_z
_atom_site_occupancy
Mg1 Mg 0.0000 0.0000 0.0000 1
Si1 Si 0.2246 0.0000 0.6735 1
Pt1 Pt 0.0000 0.5000 0.5000 1
```

Compound: Pa2AlAg
Source: the Alexandria database
Functional: PBE
Structure: optimized geometry

## Properties
Its polymorph energy (0 for the lowest one) is 0 meV/atom. The value obtained for the formation energy is 0.01 eV/atom.

```
data_Pa2AlAg
_chemical_formula_sum 'Pa2 Al1 Ag1'
_cell_length_a 3.0881
_cell_length_b 3.0881
_cell_length_c 9.1359
_cell_angle_alpha 90.00
_cell_angle_beta 90.00
_cell_angle_gamma 90.00
_symmetry_space_group_name_H-M 'P 4/m m m'
_symmetry_Int_Tables_number 123
_symmetry_space_group_name_Hall '-P 4 2'
loop_
_atom_site_label
_atom_site_type_symbol
_atom_site_fract_x
_atom_site_fract_y
_atom_site_fract_z
_atom_site_occupancy
Pa1 Pa 0.0000 0.0000 0.2422 1
Al1 Al 0.5000 0.5000 0.0000 1
Ag1 Ag 0.5000 0.5000 0.5000 1
```

Compound: CrCuS2N
Source: the Alexandria database
Functional: PBE
Structure: optimized geometry

## Properties
Its polymorph energy (0 for the lowest one) is 895 meV/atom.

```
data_CrCuS2N
_chemical_formula_sum 'Cr1 Cu1 S2 N1'
_cell_length_a 4.6207
_cell_length_b 4.6207
_cell_length_c 3.4859
_cell_angle_alpha 90.00
_cell_angle_beta 90.00
_cell_angle_gamma 90.00
_symmetry_space_group_name_H-M 'P 4/m m m'
_symmetry_Int_Tables_number 123
_symmetry_space_group_name_Hall '-P 4 2'
loop_
_atom_site_label
_atom_site_type_symbol
_atom_site_fract_x
_atom_site_fract_y
_atom_site_fract_z
_atom_site_occupancy
Cr1 Cr 0.0000 0.0000 0.0000 1
Cu1 Cu 0.5000 0.5000 0.5000 1
S1 S 0.0000 0.5000 0.5000 1
N1 N 0.5000 0.5000 0.0000 1
```

Compound: CuSe3Br
Source: the Alexandria database
Functional: PBE
Structure: optimized geometry

## Properties
The total energy is -10.492 eV for the cell shown.

```
data_CuSe3Br
_chemical_formula_sum 'Cu1 Se3 Br1'
_cell_length_a 5.1747
_cell_length_b 5.1747
_cell_length_c 5.1747
_cell_angle_alpha 90.00
_cell_angle_beta 90.00
_cell_angle_gamma 90.00
_symmetry_space_group_name_H-M 'P m -3 m'
_symmetry_Int_Tables_number 221
_symmetry_space_group_name_Hall '-P 4 2 3'
loop_
_atom_site_label
_atom_site_type_symbol
_atom_site_fract_x
_atom_site_fract_y
_atom_site_fract_z
_atom_site_occupancy
Cu1 Cu 0.0000 0.0000 0.0000 1
Se1 Se 0.0000 0.5000 0.5000 1
Br1 Br 0.5000 0.5000 0.5000 1
```

Compound: TaBe2Fe
Source: the Alexandria database
Functional: PBE
Structure: optimized geometry

## Properties
Its polymorph energy (0 for the lowest one) is 31 meV/atom. The value obtained for the formation energy is -0.06 eV/atom.

```
data_TaBe2Fe
_chemical_formula_sum 'Ta1 Be2 Fe1'
_cell_length_a 2.8110
_cell_length_b 2.8110
_cell_length_c 5.6841
_cell_angle_alpha 90.00
_cell_angle_beta 90.00
_cell_angle_gamma 90.00
_symmetry_space_group_name_H-M 'P 4/m m m'
_symmetry_Int_Tables_number 123
_symmetry_space_group_name_Hall '-P 4 2'
loop_
_atom_site_label
_atom_site_type_symbol
_atom_site_fract_x
_atom_site_fract_y
_atom_site_fract_z
_atom_site_occupancy
Ta1 Ta 0.0000 0.0000 0.0000 1
Be1 Be 0.5000 0.5000 0.3051 1
Fe1 Fe 0.0000 0.0000 0.5000 1
```

Compound: Ac2Nd7Sm2
Source: the Alexandria database
Functional: PBE
Structure: optimized geometry

## Properties
The value obtained for the formation energy is 0.15 eV/atom.

```
data_Ac2Nd7Sm2
_chemical_formula_sum 'Ac4 Nd14 Sm4'
_cell_length_a 11.5817
_cell_length_b 12.1264
_cell_length_c 6.2850
_cell_angle_alpha 90.00
_cell_angle_beta 112.08
_cell_angle_gamma 90.00
_symmetry_space_group_name_H-M 'C 1 2/m 1'
_symmetry_Int_Tables_number 12
_symmetry_space_group_name_Hall '-C 2y'
loop_
_atom_site_label
_atom_site_type_symbol
_atom_site_fract_x
_atom_site_fract_y
_atom_site_fract_z
_atom_site_occupancy
Ac1 Ac 0.2253 0.0000 0.0901 1
Nd1 Nd 0.0000 0.0000 0.5000 1
Nd2 Nd 0.0828 0.5000 0.3014 1
Nd3 Nd 0.1732 0.2351 0.6674 1
Sm1 Sm 0.0000 0.2309 0.0000 1
```

Compound: Tl2Hg2H2I
Source: the Alexandria database
Functional: PBE
Structure: optimized geometry

## Properties
The total energy is -26.739 eV for the cell shown.

```
data_Tl2Hg2H2I
_chemical_formula_sum 'Tl4 Hg4 H4 I2'
_cell_length_a 7.4523
_cell_length_b 4.2932
_cell_length_c 12.3330
_cell_angle_alpha 90.00
_cell_angle_beta 101.66
_cell_angle_gamma 90.00
_symmetry_space_group_name_H-M 'C 1 2/m 1'
_symmetry_Int_Tables_number 12
_symmetry_space_group_name_Hall '-C 2y'
loop_
_atom_site_label
_atom_site_type_symbol
_atom_site_fract_x
_atom_site_fract_y
_atom_site_fract_z
_atom_site_occupancy
Tl1 Tl 0.1015 0.0000 0.3036 1
Hg1 Hg 0.1888 0.5000 0.0671 1
H1 H 0.2407 0.5000 0.2196 1
I1 I 0.0000 0.5000 0.5000 1
```

Compound: NaP3Ru4
Source: the Alexandria database
Functional: PBE
Structure: optimized geometry

## Properties
The value obtained for the formation energy is -0.45 eV/atom.

```
data_NaP3Ru4
_chemical_formula_sum 'Na1 P3 Ru4'
_cell_length_a 4.0006
_cell_length_b 4.0006
_cell_length_c 7.5818
_cell_angle_alpha 90.00
_cell_angle_beta 90.00
_cell_angle_gamma 90.00
_symmetry_space_group_name_H-M 'P 4/m m m'
_symmetry_Int_Tables_number 123
_symmetry_space_group_name_Hall '-P 4 2'
loop_
_atom_site_label
_atom_site_type_symbol
_atom_site_fract_x
_atom_site_fract_y
_atom_site_fract_z
_atom_site_occupancy
Na1 Na 0.0000 0.0000 0.0000 1
P1 P 0.0000 0.0000 0.5000 1
P2 P 0.5000 0.5000 0.1629 1
Ru1 Ru 0.0000 0.5000 0.3160 1
```

Compound: CaAl2Ga
Source: the Alexandria database
Functional: PBE
Structure: optimized geometry

## Properties
The value obtained for the formation energy is 0.03 eV/atom.

```
data_CaAl2Ga
_chemical_formula_sum 'Ca4 Al8 Ga4'
_cell_length_a 4.7365
_cell_length_b 4.7365
_cell_length_c 18.3112
_cell_angle_alpha 90.00
_cell_angle_beta 90.00
_cell_angle_gamma 90.00
_symmetry_space_group_name_H-M 'I -4 2 d'
_symmetry_Int_Tables_number 122
_symmetry_space_group_name_Hall 'I -4 2bw'
loop_
_atom_site_label
_atom_site_type_symbol
_atom_site_fract_x
_atom_site_fract_y
_atom_site_fract_z
_atom_site_occupancy
Ca1 Ca 0.0000 0.0000 0.0000 1
Al1 Al 0.1010 0.2500 0.6250 1
Ga1 Ga 0.0000 0.0000 0.5000 1
```